# 1
Material: Si3RhF
Method: DFT, PBE-GGA
State: optimized geometry

Summary:
Energy above the lowest structure with this stoichiometry = 327 meV/atom
Formation energy (no corrections) = 8.56 kcal/mol of atoms
Spin magnetization = 0.00 μB/f.u.
Total energy = -23.64 eV per cell

Cell: 4.211 4.211 4.211 Å, 90.00 90.00 90.00°
Fractional positions:
Si  0.000  0.000  0.500
Si  0.000  0.500  0.000
Si  0.500  0.000  0.000
Rh  0.500  0.500  0.500
F  0.000  0.000  0.000



# 2
Material: CsInB
Method: DFT, PBE-GGA
State: optimized geometry

Summary:
ΔH_f (0 K) = 0.25 eV/atom
Spin magnetization = 0.00 μB/f.u.
Total energy = -19.03 eV per cell

Cell: 5.231 5.231 12.132 Å, 98.80 98.80 36.36°
Fractional positions:
Cs  0.036  0.036  0.188
Cs  0.964  0.964  0.812
In  0.356  0.356  0.443
In  0.644  0.644  0.557
B  0.252  0.252  0.000
B  0.748  0.748  0.000



# 3
Material: PdSeBr3
Method: DFT, PBE-GGA
State: optimized geometry

Summary:
Energy above the lowest structure with this stoichiometry = 0 meV/atom
Formation energy (no corrections) = -5.55 kcal/mol of atoms
Spin magnetization = 0.00 μB/f.u.
Total energy = -59.60 eV per cell

Cell: 8.773 8.773 12.731 Å, 93.42 93.42 125.24°
Fractional positions:
Pd  0.121  0.725  0.579
Pd  0.275  0.879  0.921
Pd  0.725  0.121  0.079
Pd  0.879  0.275  0.421
Se  0.033  0.895  0.845
Se  0.105  0.967  0.655
Se  0.895  0.033  0.345
Se  0.967  0.105  0.155
Br  0.013  0.563  0.839
Br  0.109  0.204  0.894
Br  0.204  0.109  0.394
Br  0.205  0.518  0.502
Br  0.437  0.987  0.661
Br  0.482  0.795  0.998
Br  0.518  0.205  0.002
Br  0.563  0.013  0.339
Br  0.795  0.482  0.498
Br  0.796  0.891  0.606
Br  0.891  0.796  0.106
Br  0.987  0.437  0.161



# 4
Material: SrAs2Rh5Pb
Method: DFT, PBE-GGA
State: optimized geometry

Summary:
ΔH_f (0 K) = -0.33 eV/atom
Spin magnetization = 0.00 μB/f.u.
Total energy = -54.42 eV per cell

Cell: 4.177 4.177 10.682 Å, 90.00 90.00 90.00°
Fractional positions:
Sr  0.000  0.000  0.000
As  0.500  0.500  0.221
As  0.500  0.500  0.779
Rh  0.000  0.500  0.332
Rh  0.000  0.500  0.668
Rh  0.500  0.000  0.332
Rh  0.500  0.000  0.668
Rh  0.500  0.500  0.000
Pb  0.000  0.000  0.500



# 5
Material: LaNb2V
Method: DFT, PBE-GGA
State: optimized geometry

Summary:
ΔH_f (0 K) = 1.10 eV/atom
Energy above the lowest structure with this stoichiometry = 605 meV/atom
Spin magnetization = 0.00 μB/f.u.
Total energy = -59.61 eV per cell

Cell: 9.533 9.533 9.533 Å, 149.85 149.85 43.16°
Fractional positions:
La  0.375  0.625  0.750
La  0.625  0.375  0.250
Nb  0.000  0.000  0.000
Nb  0.000  0.000  0.500
Nb  0.000  0.500  0.000
Nb  0.500  0.000  0.500
V  0.125  0.875  0.250
V  0.875  0.125  0.750



# 6
Material: NaTiTeO2
Method: DFT, PBE-GGA
State: optimized geometry

Summary:
Formation energy (no corrections) = -27.91 kcal/mol of atoms
Spin magnetization = 0.00 μB/f.u.
Total energy = -28.32 eV per cell

Cell: 3.853 3.853 8.985 Å, 90.00 90.00 90.00°
Fractional positions:
Na  0.000  0.000  0.000
Ti  0.000  0.000  0.500
Te  0.500  0.500  0.000
O  0.000  0.500  0.500
O  0.500  0.000  0.500



# 7
Material: Sc3GeP
Method: DFT, PBE-GGA
State: optimized geometry

Summary:
ΔH_f (0 K) = -0.82 eV/atom
Energy above the lowest structure with this stoichiometry = 0 meV/atom
Spin magnetization = 0.00 μB/f.u.
Total energy = -132.42 eV per cell

Cell: 8.448 8.448 6.588 Å, 99.34 99.34 78.07°
Fractional positions:
Sc  0.045  0.169  0.438
Sc  0.134  0.648  0.031
Sc  0.169  0.045  0.938
Sc  0.302  0.464  0.533
Sc  0.352  0.866  0.469
Sc  0.464  0.302  0.033
Sc  0.536  0.698  0.967
Sc  0.648  0.134  0.531
Sc  0.698  0.536  0.467
Sc  0.831  0.955  0.062
Sc  0.866  0.352  0.969
Sc  0.955  0.831  0.562
Ge  0.141  0.347  0.795
Ge  0.347  0.141  0.295
Ge  0.653  0.859  0.705
Ge  0.859  0.653  0.205
P  0.246  0.754  0.750
P  0.412  0.588  0.250
P  0.588  0.412  0.750
P  0.754  0.246  0.250



# 8
Material: NaNi2S
Method: DFT, PBE-GGA
State: optimized geometry

Summary:
Formation energy (no corrections) = -5.51 kcal/mol of atoms
Spin magnetization = 0.00 μB/f.u.
Total energy = -35.93 eV per cell

Cell: 7.733 7.733 7.733 Å, 144.09 144.09 51.70°
Fractional positions:
Na  0.375  0.625  0.750
Na  0.625  0.375  0.250
Ni  0.000  0.000  0.000
Ni  0.000  0.000  0.500
Ni  0.000  0.500  0.000
Ni  0.500  0.000  0.500
S  0.125  0.875  0.250
S  0.875  0.125  0.750



# 9
Material: In3AgPt12
Method: DFT, PBE-GGA
State: optimized geometry

Summary:
ΔH_f (0 K) = -0.27 eV/atom
Spin magnetization = 0.00 μB/f.u.
Total energy = -87.82 eV per cell

Cell: 4.056 4.056 15.998 Å, 90.00 90.00 90.00°
Fractional positions:
In  0.000  0.000  0.000
In  0.000  0.000  0.252
In  0.000  0.000  0.748
Ag  0.000  0.000  0.500
Pt  0.000  0.500  0.126
Pt  0.000  0.500  0.376
Pt  0.000  0.500  0.624
Pt  0.000  0.500  0.874
Pt  0.500  0.000  0.126
Pt  0.500  0.000  0.376
Pt  0.500  0.000  0.624
Pt  0.500  0.000  0.874
Pt  0.500  0.500  0.000
Pt  0.500  0.500  0.251
Pt  0.500  0.500  0.500
Pt  0.500  0.500  0.749



# 10
Material: LiGePd4
Method: DFT, PBE-GGA
State: optimized geometry

Summary:
ΔH_f (0 K) = -0.41 eV/atom
Energy above the lowest structure with this stoichiometry = 0 meV/atom
Spin magnetization = 0.00 μB/f.u.
Total energy = -119.15 eV per cell

Cell: 7.150 2.937 16.933 Å, 90.00 90.00 90.00°
Fractional positions:
Li  0.213  0.250  0.188
Li  0.287  0.750  0.688
Li  0.713  0.250  0.312
Li  0.787  0.750  0.812
Ge  0.250  0.250  0.953
Ge  0.250  0.750  0.453
Ge  0.750  0.250  0.547
Ge  0.750  0.750  0.047
Pd  0.016  0.750  0.284
Pd  0.035  0.750  0.574
Pd  0.107  0.750  0.063
Pd  0.163  0.750  0.838
Pd  0.337  0.250  0.338
Pd  0.393  0.250  0.563
Pd  0.465  0.250  0.074
Pd  0.484  0.250  0.784
Pd  0.516  0.750  0.216
Pd  0.535  0.750  0.926
Pd  0.607  0.750  0.437
Pd  0.663  0.750  0.662
Pd  0.837  0.250  0.162
Pd  0.893  0.250  0.937
Pd  0.965  0.250  0.426
Pd  0.984  0.250  0.716



# 11
Material: YPBr2
Method: DFT, PBE-GGA
State: optimized geometry

Summary:
Energy above the lowest structure with this stoichiometry = 673 meV/atom
Formation energy (no corrections) = -9.97 kcal/mol of atoms
Spin magnetization = 0.93 μB/f.u.
Total energy = -16.95 eV per cell

Cell: 3.426 3.426 9.662 Å, 90.00 90.00 90.00°
Fractional positions:
Y  0.000  0.000  0.000
P  0.000  0.000  0.500
Br  0.500  0.500  0.178
Br  0.500  0.500  0.822



# 12
Material: BaPt2Au9
Method: DFT, PBE-GGA
State: optimized geometry

Summary:
ΔH_f (0 K) = -0.19 eV/atom
Spin magnetization = 0.00 μB/f.u.
Total energy = -91.55 eV per cell

Cell: 8.918 8.918 8.918 Å, 99.91 99.91 130.97°
Fractional positions:
Ba  0.375  0.625  0.750
Ba  0.625  0.375  0.250
Pt  0.000  0.000  0.000
Pt  0.000  0.000  0.500
Pt  0.000  0.500  0.000
Pt  0.500  0.000  0.500
Au  0.125  0.875  0.250
Au  0.137  0.561  0.334
Au  0.137  0.803  0.576
Au  0.197  0.274  0.334
Au  0.197  0.863  0.924
Au  0.274  0.197  0.834
Au  0.274  0.439  0.076
Au  0.439  0.274  0.576
Au  0.439  0.863  0.166
Au  0.561  0.137  0.834
Au  0.561  0.726  0.424
Au  0.726  0.561  0.924
Au  0.726  0.803  0.166
Au  0.803  0.137  0.076
Au  0.803  0.726  0.666
Au  0.863  0.197  0.424
Au  0.863  0.439  0.666
Au  0.875  0.125  0.750



# 13
Material: SrLiIn3
Method: DFT, PBE-GGA
State: optimized geometry

Summary:
ΔH_f (0 K) = -0.24 eV/atom
Energy above the lowest structure with this stoichiometry = 21 meV/atom
Spin magnetization = 0.00 μB/f.u.
Total energy = -26.02 eV per cell

Cell: 7.539 7.539 7.539 Å, 131.62 99.01 100.32°
Fractional positions:
Sr  0.285  0.035  0.250
Sr  0.715  0.965  0.750
Li  0.000  0.500  0.500
Li  0.500  0.500  0.000
In  0.103  0.353  0.750
In  0.253  0.000  0.753
In  0.253  0.500  0.253
In  0.747  0.000  0.247
In  0.747  0.500  0.747
In  0.897  0.647  0.250



# 14
Material: AcPmAgHg
Method: DFT, PBE-GGA
State: optimized geometry

Summary:
ΔH_f (0 K) = -0.35 eV/atom
Energy above the lowest structure with this stoichiometry = 14 meV/atom
Spin magnetization = 0.00 μB/f.u.
Total energy = -13.40 eV per cell

Cell: 5.510 5.510 5.510 Å, 60.00 60.00 60.00°
Fractional positions:
Ac  0.000  0.000  0.000
Pm  0.500  0.500  0.500
Ag  0.250  0.250  0.250
Hg  0.750  0.750  0.750



# 15
Material: HfZrRu2
Method: DFT, PBE-GGA
State: optimized geometry

Summary:
ΔH_f (0 K) = -0.73 eV/atom
Spin magnetization = 0.00 μB/f.u.
Total energy = -39.96 eV per cell

Cell: 4.618 4.618 3.251 Å, 90.00 90.00 90.00°
Fractional positions:
Hf  0.000  0.000  0.000
Zr  0.500  0.500  0.000
Ru  0.000  0.500  0.500
Ru  0.500  0.000  0.500



# 16
Material: BaC3
Method: DFT, PBE-GGA
State: optimized geometry

Summary:
ΔH_f (0 K) = 0.89 eV/atom
Energy above the lowest structure with this stoichiometry = 624 meV/atom
Spin magnetization = 0.00 μB/f.u.
Total energy = -52.07 eV per cell

Cell: 5.577 5.577 6.315 Å, 90.00 90.00 120.00°
Fractional positions:
Ba  0.333  0.667  0.250
Ba  0.667  0.333  0.750
C  0.085  0.170  0.750
C  0.085  0.915  0.750
C  0.170  0.085  0.250
C  0.830  0.915  0.750
C  0.915  0.085  0.250
C  0.915  0.830  0.250



# 17
Material: CsTi2Br7
Method: DFT, PBE-GGA
State: optimized geometry

Summary:
Formation energy (no corrections) = -27.04 kcal/mol of atoms
Spin magnetization = 2.00 μB/f.u.
Total energy = -40.08 eV per cell

Cell: 8.266 8.266 5.171 Å, 90.00 90.00 118.93°
Fractional positions:
Cs  0.000  0.000  0.000
Ti  0.301  0.699  0.500
Ti  0.699  0.301  0.500
Br  0.044  0.336  0.500
Br  0.303  0.697  0.000
Br  0.336  0.044  0.500
Br  0.500  0.500  0.500
Br  0.664  0.956  0.500
Br  0.697  0.303  0.000
Br  0.956  0.664  0.500



# 18
Material: Ba2TlSnH
Method: DFT, PBE-GGA
State: optimized geometry

Summary:
Energy above the lowest structure with this stoichiometry = 0 meV/atom
Spin magnetization = 0.00 μB/f.u.
Total energy = -15.59 eV per cell

Cell: 5.533 5.533 5.014 Å, 90.00 90.00 90.00°
Fractional positions:
Ba  0.000  0.500  0.000
Ba  0.500  0.000  0.000
Tl  0.000  0.000  0.500
Sn  0.500  0.500  0.500
H  0.000  0.000  0.000



# 19
Material: PIrPb2
Method: DFT, PBE-GGA
State: optimized geometry

Summary:
ΔH_f (0 K) = 0.08 eV/atom
Spin magnetization = 0.00 μB/f.u.
Total energy = -21.37 eV per cell

Cell: 8.297 8.297 3.427 Å, 101.72 101.72 24.15°
Fractional positions:
P  0.000  0.000  0.000
Ir  0.500  0.500  0.500
Pb  0.158  0.158  0.655
Pb  0.842  0.842  0.345



# 20
Material: SrCoMo2Pb
Method: DFT, PBE-GGA
State: optimized geometry

Summary:
ΔH_f (0 K) = 1.75 eV/atom
Spin magnetization = 5.45 μB/f.u.
Total energy = -25.40 eV per cell

Cell: 5.299 5.299 4.863 Å, 90.00 90.00 90.00°
Fractional positions:
Sr  0.000  0.000  0.000
Co  0.500  0.500  0.000
Mo  0.000  0.500  0.500
Mo  0.500  0.000  0.500
Pb  0.500  0.500  0.500



# 21
Material: HoScTlCu
Method: DFT, PBE-GGA
State: optimized geometry

Summary:
ΔH_f (0 K) = -0.23 eV/atom
Spin magnetization = 0.01 μB/f.u.
Total energy = -18.31 eV per cell

Cell: 5.022 5.022 5.022 Å, 60.00 60.00 60.00°
Fractional positions:
Ho  0.000  0.000  0.000
Sc  0.500  0.500  0.500
Tl  0.750  0.750  0.750
Cu  0.250  0.250  0.250



# 22
Material: BaIn3Bi3
Method: DFT, PBE-GGA
State: optimized geometry

Summary:
ΔH_f (0 K) = -0.20 eV/atom
Energy above the lowest structure with this stoichiometry = 36 meV/atom
Spin magnetization = 0.00 μB/f.u.
Total energy = -46.32 eV per cell

Cell: 10.817 10.817 5.505 Å, 90.00 90.00 120.00°
Fractional positions:
Ba  0.333  0.667  0.250
Ba  0.667  0.333  0.750
In  0.044  0.621  0.750
In  0.379  0.423  0.750
In  0.423  0.044  0.250
In  0.577  0.956  0.750
In  0.621  0.577  0.250
In  0.956  0.379  0.250
Bi  0.069  0.351  0.750
Bi  0.281  0.931  0.750
Bi  0.351  0.281  0.250
Bi  0.649  0.719  0.750
Bi  0.719  0.069  0.250
Bi  0.931  0.649  0.250